Entry from Alexandria via LeMat-Bulk: a geometry-optimized SbPt structure (PBE).

Lattice parameters (Å, degrees): 7.4678 7.4256 5.6409 68.14 67.35 44.51
Fractional positions:
Sb  0.0886  0.6614  0.6614
Sb  0.3386  0.9114  0.9114
Sb  0.6614  0.0886  0.0886
Sb  0.9114  0.3386  0.3386
Pt  0.2603  0.2603  0.4897
Pt  0.4897  0.4897  0.2603
Pt  0.5103  0.5103  0.7397
Pt  0.7397  0.7397  0.5103

Output
The formation energy without anion corrections is -0.159 eV/atom. Its density of states at the Fermi level is 0.80 states/eV/f.u.